{
  "formula": "RhSe2F",
  "functional": "PBE",
  "state": "relaxed",
  "spacegroup": "R-3m (166)",
  "e_above_lowest_polymorph_mev_per_atom": 541,
  "lattice_angstrom": [[-3.5545, -7.9877, 2.4852], [-0.9164, -8.3288, 3.5220], [-2.8932, -6.9680, 5.0686]],
  "species": ["Rh", "Se", "Se", "F"],
  "frac_coords": [[0.0000, 0.0000, 0.0000], [0.9096, 0.9096, 0.9096], [0.0904, 0.0904, 0.0904], [0.5000, 0.5000, 0.5000]]
}